--- one ---
{
  "formula": "SrPCl",
  "functional": "PBE",
  "state": "relaxed",
  "lattice": [[4.605, 0.000, -0.025], [0.000, 21.481, 0.000], [-2.715, 0.000, 3.697]],
  "species": ["Cl", "Cl", "Cl", "Cl", "Sr", "Sr", "Sr", "Sr", "P", "P", "P", "P"],
  "frac_coords": [[0.978, 0.829, 0.989], [0.478, 0.671, 0.989], [0.978, 0.329, 0.489], [0.478, 0.171, 0.489], [0.156, 0.606, 0.308], [0.656, 0.394, 0.808], [0.156, 0.106, 0.808], [0.656, 0.894, 0.308], [0.842, 0.523, 0.620], [0.342, 0.477, 0.120], [0.342, 0.977, 0.620], [0.842, 0.023, 0.120]],
  "magnetic_moment_mub_per_atom": 0.000
}


--- two ---
{
  "formula": "SrPCl",
  "functional": "PBE",
  "state": "relaxed",
  "lattice": [[-3.976, 0.695, -0.852], [-0.946, -3.237, 1.776], [-0.485, 4.532, 8.002]],
  "species": ["Cl", "Cl", "Sr", "Sr", "P", "P"],
  "frac_coords": [[0.263, 0.250, 0.621], [0.737, 0.750, 0.379], [0.222, 0.250, 0.261], [0.778, 0.750, 0.739], [0.326, 0.750, 0.993], [0.674, 0.250, 0.007]],
  "magnetic_moment_mub_per_atom": 0.000
}


--- three ---
{
  "formula": "SrPCl",
  "functional": "PBE",
  "state": "relaxed",
  "lattice": [[-2.396, -8.731, -5.758], [3.955, -1.278, 0.292], [-1.507, -2.956, 7.458]],
  "species": ["Sr", "Sr", "Sr", "Sr", "P", "P", "P", "P", "Cl", "Cl", "Cl", "Cl"],
  "frac_coords": [[0.546, 0.000, 0.294], [0.979, 0.500, 0.381], [0.979, 0.000, 0.881], [0.546, 0.500, 0.794], [0.719, 0.000, 0.015], [0.807, 0.500, 0.031], [0.719, 0.500, 0.515], [0.807, 0.000, 0.531], [0.417, 0.000, 0.590], [0.109, 0.500, 0.729], [0.109, 0.000, 0.229], [0.417, 0.500, 0.090]],
  "magnetic_moment_mub_per_atom": 0.000
}


--- four ---
{
  "formula": "SrPCl",
  "functional": "PBE",
  "state": "relaxed",
  "lattice": [[-1.272, -3.870, -3.093], [0.809, -4.829, 1.480], [-3.963, -3.013, 1.172]],
  "species": ["Sr", "P", "Cl"],
  "frac_coords": [[0.750, 0.750, 0.750], [0.500, 0.500, 0.500], [0.000, 0.000, 0.000]],
  "magnetic_moment_mub_per_atom": 0.667
}


Short version: four is the least stable of them.


--- one ---
{
  "formula": "SrPCl",
  "functional": "PBE",
  "state": "relaxed",
  "lattice": [[-7.196, 4.200, -3.306], [-2.382, -2.381, 2.161], [2.377, 5.163, 8.309]],
  "species": ["P", "P", "P", "P", "Cl", "Cl", "Cl", "Cl", "Sr", "Sr", "Sr", "Sr"],
  "frac_coords": [[0.752, 0.000, 0.638], [0.820, 0.000, 0.236], [0.752, 0.500, 0.138], [0.820, 0.500, 0.736], [0.188, 0.500, 0.056], [0.430, 0.500, 0.839], [0.188, 0.000, 0.556], [0.430, 0.000, 0.339], [0.933, 0.000, 0.971], [0.933, 0.500, 0.471], [0.455, 0.000, 0.057], [0.455, 0.500, 0.557]],
  "magnetic_moment_mub_per_atom": 0.000
}


--- two ---
{
  "formula": "SrPCl",
  "functional": "PBE",
  "state": "relaxed",
  "lattice": [[-3.384, 2.124, -0.175], [-1.835, -3.140, -2.633], [-6.586, -9.209, 15.571]],
  "species": ["Cl", "Cl", "Cl", "Cl", "Sr", "Sr", "Sr", "Sr", "P", "P", "P", "P"],
  "frac_coords": [[0.500, 0.500, 0.586], [0.500, 0.000, 0.086], [0.000, 0.500, 0.209], [0.000, 0.000, 0.709], [0.500, 0.500, 0.738], [0.000, 0.000, 0.977], [0.000, 0.500, 0.477], [0.500, 0.000, 0.238], [0.000, 0.000, 0.362], [0.500, 0.000, 0.416], [0.500, 0.500, 0.916], [0.000, 0.500, 0.862]],
  "magnetic_moment_mub_per_atom": 0.000
}


--- three ---
{
  "formula": "SrPCl",
  "functional": "PBE",
  "state": "relaxed",
  "lattice": [[18.408, 0.000, 0.000], [0.000, 3.811, 0.000], [0.000, 0.000, 4.119]],
  "species": ["P", "P", "P", "P", "Cl", "Cl", "Cl", "Cl", "Sr", "Sr", "Sr", "Sr"],
  "frac_coords": [[0.500, 0.000, 0.974], [0.000, 0.000, 0.127], [0.500, 0.500, 0.627], [0.000, 0.500, 0.474], [0.689, 0.500, 0.000], [0.811, 0.000, 0.500], [0.311, 0.500, 0.000], [0.189, 0.000, 0.500], [0.870, 0.500, 0.997], [0.370, 0.000, 0.497], [0.630, 0.000, 0.497], [0.130, 0.500, 0.997]],
  "magnetic_moment_mub_per_atom": 0.000
}


--- four ---
{
  "formula": "SrPCl",
  "functional": "PBE",
  "state": "relaxed",
  "lattice": [[-0.689, 2.793, 7.607], [-2.279, -3.164, 0.955], [8.705, -6.179, 0.305]],
  "species": ["Cl", "Cl", "Cl", "Cl", "P", "P", "P", "P", "Sr", "Sr", "Sr", "Sr"],
  "frac_coords": [[0.182, 0.500, 0.030], [0.481, 0.500, 0.355], [0.182, 0.000, 0.530], [0.481, 0.000, 0.855], [0.837, 0.500, 0.712], [0.837, 0.000, 0.212], [0.751, 0.500, 0.123], [0.751, 0.000, 0.623], [0.883, 0.000, 0.934], [0.883, 0.500, 0.434], [0.443, 0.500, 0.644], [0.443, 0.000, 0.144]],
  "magnetic_moment_mub_per_atom": 0.000
}


Short version: one is the least stable of them.


--- one ---
{
  "formula": "SrPCl",
  "functional": "PBE",
  "state": "relaxed",
  "lattice": [[4.158, 0.000, 0.000], [0.000, 4.098, 0.000], [0.000, 0.000, 19.535]],
  "species": ["P", "P", "P", "P", "Cl", "Cl", "Cl", "Cl", "Sr", "Sr", "Sr", "Sr"],
  "frac_coords": [[0.000, 0.500, 0.402], [0.000, 0.000, 0.902], [0.500, 0.000, 0.852], [0.500, 0.500, 0.352], [0.500, 0.500, 0.556], [0.500, 0.000, 0.056], [0.000, 0.000, 0.675], [0.000, 0.500, 0.175], [0.000, 0.000, 0.280], [0.000, 0.000, 0.524], [0.000, 0.500, 0.780], [0.000, 0.500, 0.024]],
  "magnetic_moment_mub_per_atom": 0.000
}


--- two ---
{
  "formula": "SrPCl",
  "functional": "PBE",
  "state": "relaxed",
  "lattice": [[-1.360, 0.398, -4.218], [0.066, -4.000, 1.949], [-6.248, 0.921, 2.101]],
  "species": ["Sr", "P", "Cl"],
  "frac_coords": [[0.333, 0.667, 0.685], [0.667, 0.333, 0.423], [0.000, 0.000, 0.893]],
  "magnetic_moment_mub_per_atom": 0.667
}


Short version: two is the least stable of them.